# DyHo2Co7Ni2 GGA-PBE relaxed
data_DyHo2Co7Ni2
_symmetry_space_group_name_H-M 'P 1'
_symmetry_Int_Tables_number 1
_cell_length_a 8.6318
_cell_length_b 8.6318
_cell_length_c 8.6318
_cell_angle_alpha 33.10
_cell_angle_beta 33.10
_cell_angle_gamma 33.10
loop_
_symmetry_equiv_pos_as_xyz
'x,y,z'
loop_
_atom_site_label
_atom_site_fract_x
_atom_site_fract_y
_atom_site_fract_z
Dy1 0.0000 0.0000 0.0000
Ho1 0.1395 0.1395 0.1395
Ho2 0.8605 0.8605 0.8605
Co1 0.0807 0.5822 0.5822
Co2 0.4178 0.4178 0.9193
Co3 0.4178 0.9193 0.4178
Co4 0.5000 0.5000 0.5000
Co5 0.5822 0.0807 0.5822
Co6 0.5822 0.5822 0.0807
Co7 0.9193 0.4178 0.4178
Ni1 0.3337 0.3337 0.3337
Ni2 0.6663 0.6663 0.6663
# Total magnetization = 8.27 μB/f.u.
# Final energy = -6.45 eV/atom
# Energy of formation from the pure elements = -2.784 eV/f.u.
# Symmetry = R-3m (166)
# V = 14.2 Å³ per atom